Entry 1:
Compound: Ca2H6O
Source: Alexandria via LeMat-Bulk
Functional: PBE
Structure: relaxed

Values from the calculation:
Its symmetry is Fm-3m (225). The value obtained for the total DFT energy (no corrections) is -29.70 eV per cell.

abc: 4.7078 4.7078 4.7078
angles: 60.00 60.00 60.00
With the nearest neighbours (Å) after each atom.
Fractional positions:
1 Ca 0.2500 0.2500 0.2500  12 H 2.46
2 Ca 0.7500 0.7500 0.7500  12 H 2.46
3 H 0.1451 0.1451 0.8549  4 H 1.37
4 H 0.1451 0.8549 0.1451  4 H 1.37
5 H 0.1451 0.8549 0.8549  4 H 1.37
6 H 0.8549 0.1451 0.1451  4 H 1.37
7 H 0.8549 0.1451 0.8549  4 H 1.37
8 H 0.8549 0.8549 0.1451  4 H 1.37
9 O 0.5000 0.5000 0.5000  6 H 2.36


Entry 2:
Compound: TlInMo2
Source: Alexandria via LeMat-Bulk
Functional: PBE
Structure: relaxed

Values from the calculation:
The calculation puts the formation energy at 0.543 eV per atom. The value obtained for the energy relative to the lowest polymorph listed for this composition is 83.5 kJ/mol of formula units. The density of states at the Fermi level comes out at 2.83 states/eV/cell. Its symmetry is Imm2 (44).

abc: 5.6532 5.6532 5.6532
angles: 145.52 129.25 62.80
With the nearest neighbours (Å) after each atom.
Fractional positions:
1 Tl 0.0000 0.0000 0.0000  8 Mo 2.97-3.32, 4 In 3.14-3.25
2 In 0.2753 0.7753 0.5000  6 Mo 2.97-3.04, 4 Tl 3.14-3.25
3 Mo 0.5388 0.5388 0.0000  2 Mo 2.53
4 Mo 0.7350 0.2350 0.5000  2 Mo 2.53


Entry 3:
Compound: TiCoGe
Source: Alexandria via LeMat-Bulk
Functional: PBE
Structure: relaxed

Values from the calculation:
The calculation puts the formation energy at -0.600 eV per atom. The density of states at the Fermi level comes out at 6.37 states/eV/cell. Its symmetry is P-62m (189).

abc: 6.1613 6.1613 3.7659
angles: 90.00 90.00 120.00
With the nearest neighbours (Å) after each atom.
Fractional positions:
1 Ti 0.0000 0.5675 0.0000  5 Ge 2.62-2.66, 2 Co 2.75
2 Ti 0.4325 0.4325 0.0000  5 Ge 2.62-2.66, 2 Co 2.75
3 Ti 0.5675 0.0000 0.0000  5 Ge 2.62-2.66, 2 Co 2.75
4 Co 0.0000 0.2422 0.5000  4 Ge 2.38-2.40, 2 Co 2.58
5 Co 0.2422 0.0000 0.5000  4 Ge 2.38-2.40, 2 Co 2.58
6 Co 0.7578 0.7578 0.5000  4 Ge 2.38-2.40, 2 Co 2.58
7 Ge 0.0000 0.0000 0.0000  6 Co 2.40, 3 Ti 2.66
8 Ge 0.3333 0.6667 0.5000  3 Co 2.38, 6 Ti 2.62
9 Ge 0.6667 0.3333 0.5000  3 Co 2.38, 6 Ti 2.62


Entry 4:
Compound: Pm2PrTmTl2
Source: Alexandria via LeMat-Bulk
Functional: PBE
Structure: relaxed

Values from the calculation:
The calculation puts the formation energy at -0.267 eV per atom. The density of states at the Fermi level comes out at 13.19 states/eV/cell. Its symmetry is Pmc2_1 (26).

abc: 5.1827 10.1883 6.9747
angles: 90.00 90.00 90.00
With the nearest neighbours (Å) after each atom.
Fractional positions:
1 Pm 0.0000 0.0484 0.0000  5 Tl 3.29-3.64, 4 Pm 3.53-3.62
2 Pm 0.0000 0.9516 0.5000  5 Tl 3.29-3.64, 4 Pm 3.53-3.62
3 Pm 0.5000 0.1819 0.2822  4 Tl 3.23-3.33, 2 Pm 3.53
4 Pm 0.5000 0.8181 0.7822  4 Tl 3.23-3.33, 2 Pm 3.53
5 Pr 0.5000 0.4537 0.9032  5 Tl 3.30-3.54, 2 Tm 3.58, 2 Pr 3.61
6 Pr 0.5000 0.5463 0.4032  5 Tl 3.30-3.54, 2 Tm 3.58, 2 Pr 3.61
7 Tm 0.0000 0.3097 0.6192  4 Tl 3.20-3.26, 2 Pr 3.58
8 Tm 0.0000 0.6903 0.1192  4 Tl 3.20-3.26, 2 Pr 3.58
9 Tl 0.0000 0.3718 0.1701  2 Tm 3.20-3.26, 4 Pr 3.30-3.54, 3 Pm 3.33-3.50
10 Tl 0.0000 0.6282 0.6701  2 Tm 3.20-3.26, 4 Pr 3.30-3.54, 3 Pm 3.33-3.50
11 Tl 0.5000 0.1401 0.7419  2 Tm 3.23, 4 Pm 3.23-3.29, 1 Pr 3.39
12 Tl 0.5000 0.8599 0.2419  2 Tm 3.23, 4 Pm 3.23-3.29, 1 Pr 3.39


Entry 5:
Compound: Mg2PaGa3
Source: Alexandria via LeMat-Bulk
Functional: PBE
Structure: relaxed

Values from the calculation:
The calculation puts the formation energy at -0.171 eV per atom. The density of states at the Fermi level comes out at 4.99 states/eV/cell. Its symmetry is P4/mmm (123).

abc: 3.3582 3.3582 10.5749
angles: 90.00 90.00 90.00
With the nearest neighbours (Å) after each atom.
Fractional positions:
1 Mg 0.0000 0.0000 0.1563  8 Ga 2.89-2.90
2 Mg 0.0000 0.0000 0.8437  8 Ga 2.89-2.90
3 Pa 0.0000 0.0000 0.5000  8 Ga 3.08, 4 Pa 3.36
4 Ga 0.5000 0.5000 0.0000  8 Mg 2.89
5 Ga 0.5000 0.5000 0.3140  4 Mg 2.90, 4 Pa 3.08
6 Ga 0.5000 0.5000 0.6860  4 Mg 2.90, 4 Pa 3.08


Entry 6:
Compound: KTaHg
Source: Alexandria via LeMat-Bulk
Functional: PBE
Structure: relaxed

Values from the calculation:
The calculation puts the formation energy at 0.443 eV per atom. The value obtained for the energy relative to the lowest polymorph listed for this composition is 44.8 kJ/mol of formula units. The density of states at the Fermi level comes out at 4.65 states/eV/cell. Its symmetry is Pm (6).

abc: 3.1921 4.8532 12.4284
angles: 90.00 91.17 90.00
With the nearest neighbours (Å) after each atom.
Fractional positions:
1 K 0.0000 0.0000 0.0000  2 K 3.19, 1 Ta 3.37
2 K 0.4409 0.5000 0.3115  2 K 3.19, 2 Hg 3.47
3 Ta 0.4604 0.0000 0.5586  2 Ta 2.65, 4 Hg 2.90
4 Ta 0.9737 0.0000 0.7289  2 Ta 2.65
5 Hg 0.4796 0.5000 0.7959  4 Ta 3.02, 4 Hg 3.19-3.35
6 Hg 0.9605 0.5000 0.5593  6 Ta 2.90-3.21, 2 Hg 3.19


Entry 7:
Compound: SrZr2Pt2
Source: Alexandria via LeMat-Bulk
Functional: PBE
Structure: relaxed

Values from the calculation:
The calculation puts the formation energy at -0.505 eV per atom. The value obtained for the energy relative to the lowest polymorph listed for this composition is 150.6 kJ/mol of formula units. The density of states at the Fermi level comes out at 5.73 states/eV/cell. Its symmetry is I4/mmm (139).

abc: 6.2736 6.2736 6.2736
angles: 132.90 132.90 68.82
With the nearest neighbours (Å) after each atom.
Fractional positions:
1 Sr 0.0000 0.0000 0.0000  10 Zr 3.58-3.89, 8 Pt 3.60
2 Zr 0.3459 0.3459 0.0000  4 Pt 2.70
3 Zr 0.6541 0.6541 0.0000  4 Pt 2.70
4 Pt 0.2500 0.7500 0.5000  4 Zr 2.70
5 Pt 0.7500 0.2500 0.5000  4 Zr 2.70


Entry 8:
Compound: TbCuAs2O8
Source: Alexandria via LeMat-Bulk
Functional: PBE
Structure: relaxed

Values from the calculation:
Its formation energy from raw total energies is -1.40 eV/atom. The density of states at the Fermi level comes out at 8.01 states/eV/cell. Its symmetry is I-4m2 (119).

abc: 5.8912 5.8912 5.8912
angles: 106.83 106.83 114.89
With the nearest neighbours (Å) after each atom.
Fractional positions:
1 Tb 0.0000 0.0000 0.0000  8 O 2.28-2.41
2 Cu 0.2500 0.7500 0.5000  8 O 2.25-2.39
3 As 0.5000 0.5000 0.0000  4 O 1.73
4 As 0.7500 0.2500 0.5000  4 O 1.71
5 O 0.3195 0.1341 0.8146  1 As 1.73
6 O 0.3195 0.5049 0.1854  1 As 1.73
7 O 0.3885 0.0697 0.3188  1 As 1.71
8 O 0.4951 0.6805 0.8146  1 As 1.73
9 O 0.7509 0.0697 0.6812  1 As 1.71
10 O 0.8659 0.6805 0.1854  1 As 1.73
11 O 0.9303 0.2491 0.3188  1 As 1.71
12 O 0.9303 0.6115 0.6812  1 As 1.71


Number 4 is which compound? Pm2PrTmTl2


Repeat the eighth record exactly.
Compound: TbCuAs2O8
Source: Alexandria via LeMat-Bulk
Functional: PBE
Structure: relaxed

Values from the calculation:
Its formation energy from raw total energies is -1.40 eV/atom. The density of states at the Fermi level comes out at 8.01 states/eV/cell. Its symmetry is I-4m2 (119).

abc: 5.8912 5.8912 5.8912
angles: 106.83 106.83 114.89
With the nearest neighbours (Å) after each atom.
Fractional positions:
1 Tb 0.0000 0.0000 0.0000  8 O 2.28-2.41
2 Cu 0.2500 0.7500 0.5000  8 O 2.25-2.39
3 As 0.5000 0.5000 0.0000  4 O 1.73
4 As 0.7500 0.2500 0.5000  4 O 1.71
5 O 0.3195 0.1341 0.8146  1 As 1.73
6 O 0.3195 0.5049 0.1854  1 As 1.73
7 O 0.3885 0.0697 0.3188  1 As 1.71
8 O 0.4951 0.6805 0.8146  1 As 1.73
9 O 0.7509 0.0697 0.6812  1 As 1.71
10 O 0.8659 0.6805 0.1854  1 As 1.73
11 O 0.9303 0.2491 0.3188  1 As 1.71
12 O 0.9303 0.6115 0.6812  1 As 1.71